1.
Computed, not measured: an optimized crystal structure of Pu2ZrPaSe4 at the PBE level of DFT.

abc: 4.030 7.109 6.920
angles: 109.21 90.00 90.00
Atoms (fractional coordinates):
Se  0.000  0.757  0.245
Se  0.500  0.240  0.239
Se  0.000  0.243  0.755
Se  0.500  0.760  0.761
Pu  0.000  0.500  0.500
Pu  0.500  0.000  0.500
Pa  0.500  0.500  0.000
Zr  0.000  0.000  0.000

Symmetry: No. 10
V, Å³ per cell: 187.2
Total DFT energy (no corrections), eV/atom: -8.918



2.
Computed, not measured: an optimized crystal structure of Pu2Pa3Si4 at the PBE level of DFT.

abc: 7.423 7.574 7.553
angles: 90.00 90.00 109.26
Atoms (fractional coordinates):
Pa  0.755  0.752  0.308
Pa  0.500  0.500  0.000
Pa  0.255  0.752  0.192
Pa  0.745  0.248  0.808
Pa  0.245  0.248  0.692
Pa  0.000  0.500  0.500
Pu  0.926  0.806  0.832
Pu  0.074  0.194  0.168
Pu  0.574  0.194  0.332
Pu  0.426  0.806  0.668
Si  0.126  0.919  0.478
Si  0.626  0.919  0.022
Si  0.875  0.482  0.120
Si  0.375  0.482  0.380
Si  0.125  0.518  0.880
Si  0.374  0.081  0.978
Si  0.625  0.518  0.620
Si  0.874  0.081  0.522

Symmetry: No. 14
V, Å³ per cell: 400.9
Polymorph energy (0 for the lowest one), meV/atom: 0.0



3.
Computed, not measured: an optimized crystal structure of PuPaSi2 at the PBE level of DFT.

abc: 3.801 3.801 5.599
angles: 90.00 90.00 90.00
Atoms (fractional coordinates):
Pu  0.500  0.500  0.500
Si  0.000  0.000  0.261
Si  0.000  0.000  0.739
Pa  0.500  0.500  0.000

Symmetry: No. 123
V, Å³ per cell: 80.9
Polymorph energy (0 for the lowest one), meV/atom: 28.7



4.
Computed, not measured: an optimized crystal structure of PuPa4Si at the PBE level of DFT.

abc: 6.504 6.504 6.701
angles: 90.00 90.00 90.00
Atoms (fractional coordinates):
Pa  0.230  0.326  0.891
Pa  0.326  0.770  0.109
Pa  0.230  0.674  0.609
Pa  0.674  0.770  0.391
Pa  0.326  0.230  0.391
Pa  0.770  0.674  0.891
Pa  0.674  0.230  0.109
Pa  0.770  0.326  0.609
Pu  0.000  0.000  0.000
Pu  0.000  0.000  0.500
Si  0.500  0.000  0.750
Si  0.000  0.500  0.250

Symmetry: No. 112
V, Å³ per cell: 283.5
Total DFT energy (no corrections), eV/atom: -9.541



5.
Computed, not measured: an optimized crystal structure of Pu3Pa2Si4 at the PBE level of DFT.

abc: 7.361 7.577 7.427
angles: 90.00 90.00 113.67
Atoms (fractional coordinates):
Pu  0.500  0.500  0.000
Pu  0.267  0.747  0.221
Pu  0.233  0.253  0.721
Pu  0.000  0.500  0.500
Pu  0.733  0.253  0.779
Pu  0.767  0.747  0.279
Si  0.638  0.939  0.019
Si  0.862  0.061  0.519
Si  0.362  0.061  0.981
Si  0.138  0.939  0.481
Si  0.626  0.533  0.612
Si  0.874  0.467  0.112
Si  0.126  0.533  0.888
Si  0.374  0.467  0.388
Pa  0.065  0.186  0.166
Pa  0.565  0.186  0.334
Pa  0.935  0.814  0.834
Pa  0.435  0.814  0.666

Symmetry: No. 14
V, Å³ per cell: 379.4
Total DFT energy (no corrections), eV/atom: -9.693



6.
Computed, not measured: an optimized crystal structure of PuPaSi2 at the PBE level of DFT.

abc: 3.797 5.669 7.917
angles: 90.00 90.00 90.00
Atoms (fractional coordinates):
Pu  0.500  0.640  0.822
Pu  0.500  0.360  0.322
Pa  0.000  0.136  0.679
Pa  0.000  0.864  0.179
Si  0.000  0.373  0.035
Si  0.500  0.123  0.964
Si  0.000  0.627  0.535
Si  0.500  0.877  0.464

Symmetry: No. 26
V, Å³ per cell: 170.4
Polymorph energy (0 for the lowest one), meV/atom: 0.0



7.
Computed, not measured: an optimized crystal structure of Pu3PaSi2 at the PBE level of DFT.

abc: 5.154 5.154 12.740
angles: 79.69 130.11 81.36
Atoms (fractional coordinates):
Pu  0.533  0.713  0.582
Pu  0.956  0.206  0.750
Pu  0.631  0.951  0.918
Pu  0.044  0.794  0.250
Pu  0.467  0.287  0.418
Pu  0.369  0.049  0.082
Si  0.161  0.634  0.915
Si  0.218  0.246  0.585
Si  0.782  0.754  0.415
Si  0.839  0.366  0.085
Pa  0.387  0.637  0.750
Pa  0.613  0.363  0.250

Symmetry: No. 15
V, Å³ per cell: 238.3
Polymorph energy (0 for the lowest one), meV/atom: 0.0



8.
Computed, not measured: an optimized crystal structure of PuPa3Si2 at the PBE level of DFT.

abc: 7.397 7.397 7.397
angles: 57.51 57.51 57.51
Atoms (fractional coordinates):
Pa  0.374  0.126  0.750
Pa  0.750  0.374  0.126
Pa  0.626  0.874  0.250
Pa  0.250  0.626  0.874
Pa  0.126  0.750  0.374
Pa  0.874  0.250  0.626
Pu  0.000  0.000  0.000
Pu  0.500  0.500  0.500
Si  0.316  0.316  0.316
Si  0.184  0.184  0.184
Si  0.684  0.684  0.684
Si  0.816  0.816  0.816

Symmetry: No. 167
V, Å³ per cell: 269.7
Total DFT energy (no corrections), eV/atom: -9.058



9.
Computed, not measured: an optimized crystal structure of Pu3PaSi2 at the PBE level of DFT.

abc: 10.182 10.182 10.182
angles: 31.06 31.06 31.06
Atoms (fractional coordinates):
Si  0.335  0.335  0.335
Si  0.665  0.665  0.665
Si  0.835  0.835  0.835
Si  0.165  0.165  0.165
Pu  0.439  0.061  0.750
Pu  0.250  0.561  0.939
Pu  0.750  0.439  0.061
Pu  0.561  0.939  0.250
Pu  0.061  0.750  0.439
Pu  0.939  0.250  0.561
Pa  0.500  0.500  0.500
Pa  0.000  0.000  0.000

Symmetry: No. 167
V, Å³ per cell: 249.2
Polymorph energy (0 for the lowest one), meV/atom: 209.6



10.
Computed, not measured: an optimized crystal structure of Pu2Pa3Si4 at the PBE level of DFT.

abc: 7.891 7.761 8.020
angles: 90.00 119.47 90.00
Atoms (fractional coordinates):
Pa  0.023  0.250  0.545
Pa  0.977  0.750  0.455
Pa  0.523  0.250  0.545
Pa  0.477  0.750  0.455
Pa  0.500  0.500  0.000
Pa  0.000  0.000  0.000
Si  0.765  0.750  0.029
Si  0.801  0.981  0.601
Si  0.699  0.481  0.399
Si  0.735  0.250  0.971
Si  0.265  0.750  0.029
Si  0.235  0.250  0.971
Si  0.301  0.519  0.601
Si  0.199  0.019  0.399
Pu  0.599  0.013  0.199
Pu  0.900  0.513  0.801
Pu  0.401  0.987  0.801
Pu  0.100  0.487  0.199

Symmetry: No. 64
V, Å³ per cell: 427.7
Polymorph energy (0 for the lowest one), meV/atom: 210.4



11.
Computed, not measured: an optimized crystal structure of Pu3Pa2Si2 at the PBE level of DFT.

abc: 4.704 8.813 5.299
angles: 50.03 116.35 90.00
Atoms (fractional coordinates):
Pu  0.000  0.000  0.000
Pu  0.666  0.333  0.333
Pu  0.334  0.667  0.667
Si  0.388  0.280  0.776
Si  0.612  0.720  0.224
Pa  0.887  0.770  0.774
Pa  0.113  0.230  0.226

Symmetry: No. 12
V, Å³ per cell: 137.3
Total DFT energy (no corrections), eV/atom: -10.683



12.
Computed, not measured: an optimized crystal structure of PuPaSi3 at the PBE level of DFT.

abc: 4.030 3.995 12.422
angles: 99.25 90.00 90.00
Atoms (fractional coordinates):
Pa  0.250  0.794  0.588
Pa  0.750  0.206  0.412
Si  0.250  0.674  0.347
Si  0.750  0.326  0.653
Si  0.750  0.619  0.237
Si  0.750  0.524  0.047
Si  0.250  0.476  0.953
Si  0.250  0.381  0.763
Pu  0.750  0.929  0.857
Pu  0.250  0.071  0.143

Symmetry: No. 63
V, Å³ per cell: 197.4
Total DFT energy (no corrections), eV/atom: -8.484